# 1
Below is Na2SnH2 after structural relaxation, with properties calculated at the PBE-GGA level.

Cell: 7.256 7.256 3.163 Å, 90.00 90.00 90.00°
Atoms (fractional coordinates):
Na1 0.353 0.147 0.500
Na2 0.853 0.353 0.500
Na3 0.147 0.647 0.500
Na4 0.647 0.853 0.500
H1 0.849 0.651 0.000
H2 0.151 0.349 0.000
H3 0.651 0.151 0.000
H4 0.349 0.849 0.000
Sn1 0.000 0.000 0.000
Sn2 0.500 0.500 0.000

Values from the calculation:
The calculation puts the polymorph energy (0 for the lowest one) at 0 meV/atom. Its space group is P4/mbm. As for the density of states at the Fermi level: 0.2 states/eV per cell.


# 2
Below is Mg3ReRu after structural relaxation, with properties calculated at the PBE-GGA level.

Cell: 4.966 4.966 4.966 Å, 90.00 90.00 90.00°
Each line ends with the local moment (μB).
Atoms (fractional coordinates):
Re1 0.000 0.000 0.000  0.85
Mg1 0.500 0.000 0.000  -0.01
Mg2 0.000 0.500 0.000  -0.01
Mg3 0.000 0.000 0.500  -0.02
Ru1 0.500 0.500 0.500  2.32

Values from the calculation:
The calculation puts the polymorph energy (0 for the lowest one) at 317 meV/atom. Its space group is Pm-3m. As for the density of states at the Fermi level: 7.1 states/eV per cell.


# 3
Below is CeErTm3 after structural relaxation, with properties calculated at the PBE-GGA level.

Cell: 5.387 6.295 12.171 Å, 79.13 63.84 64.67°
Each line ends with the local moment (μB).
Atoms (fractional coordinates):
Tm1 0.748 0.000 0.254  0.03
Tm2 0.252 0.000 0.746  0.03
Tm3 0.580 0.325 0.756  0.09
Tm4 0.905 0.675 0.756  0.09
Tm5 0.095 0.325 0.244  0.09
Tm6 0.420 0.675 0.244  0.09
Ce1 0.136 0.728 0.000  0.83
Ce2 0.864 0.272 0.000  0.83
Er1 0.345 0.311 0.500  0.06
Er2 0.655 0.689 0.500  0.06

Values from the calculation:
The calculation puts the polymorph energy (0 for the lowest one) at 272 meV/atom. Its space group is C2/m. As for the density of states at the Fermi level: 21.6 states/eV per cell.


# 4
Below is Ca4Y2Zn after structural relaxation, with properties calculated at the PBE-GGA level.

Cell: 5.561 5.561 9.651 Å, 73.26 73.26 90.00°
Atoms (fractional coordinates):
Ca1 0.500 0.000 0.000
Ca2 0.171 0.171 0.659
Ca3 0.000 0.500 0.000
Ca4 0.829 0.829 0.341
Y1 0.378 0.378 0.244
Y2 0.622 0.622 0.756
Zn1 0.000 0.000 0.000

Values from the calculation:
Its space group is I4/mmm. As for the density of states at the Fermi level: 5.5 states/eV per cell.


# 5
Below is CaSn2As after structural relaxation, with properties calculated at the PBE-GGA level.

Cell: 8.697 8.697 6.839 Å, 50.52 50.52 90.00°
Atoms (fractional coordinates):
Ca1 0.250 0.750 0.500
Ca2 0.500 0.500 0.000
As1 0.750 0.250 0.500
As2 0.000 0.000 0.000
Sn1 0.076 0.625 0.250
Sn2 0.674 0.125 0.250
Sn3 0.875 0.924 0.750
Sn4 0.375 0.326 0.750

Values from the calculation:
Its space group is I-42d. As for the density of states at the Fermi level: 3.8 states/eV per cell.


Calculated total energy in order - -2.5195, -3.6831, -4.3565, -2.8119, -3.9914 eV/atom